(1)
Computed, not measured: an optimized crystal structure of LaMn2Hg at the GGA-PBE level of DFT.

a = 4.5847 Å, b = 4.5847 Å, c = 4.1013 Å
α = 90.00°, β = 90.00°, γ = 90.00°
Last column: nearest neighbours and their distance in Å.
Positions (direct):
La 0.0000 0.0000 0.0000  8 Mn 3.08, 4 Hg 3.24
Mn 0.0000 0.5000 0.5000  4 Hg 3.08, 4 La 3.08, 4 Mn 3.24
Mn 0.5000 0.0000 0.5000  4 Hg 3.08, 4 La 3.08, 4 Mn 3.24
Hg 0.5000 0.5000 0.0000  8 Mn 3.08, 4 La 3.24

## Properties
The value obtained for the formation energy from the elements is 0.341 eV per atom. The total energy is -5.55 eV/atom.

---

(2)
Computed, not measured: an optimized crystal structure of LaMn2Hg at the GGA-PBE level of DFT.

a = 9.6655 Å, b = 9.6655 Å, c = 9.6655 Å
α = 154.30°, β = 154.30°, γ = 36.66°
Last column: nearest neighbours and their distance in Å.
Positions (direct):
La 0.0000 0.0000 0.0000  4 Mn 2.60
La 0.7500 0.2500 0.5000  4 Mn 2.60
Mn 0.0070 0.6250 0.8820  2 Mn 2.43, 2 La 2.60
Mn 0.3750 0.2570 0.3820  2 Mn 2.43, 2 La 2.60
Mn 0.7430 0.1250 0.1180  2 Mn 2.43, 2 La 2.60
Mn 0.8750 0.9930 0.6180  2 Mn 2.43, 2 La 2.60
Hg 0.2500 0.7500 0.5000  4 Mn 2.99, 4 La 3.04
Hg 0.5000 0.5000 0.0000  4 Mn 2.99, 4 La 3.04

## Properties
The value obtained for the formation energy from the elements is 0.973 eV per atom. The total energy is -4.92 eV/atom.

---

(3)
Computed, not measured: an optimized crystal structure of LaMnHg3 at the GGA-PBE level of DFT.

a = 5.1055 Å, b = 5.1055 Å, c = 5.1055 Å
α = 90.00°, β = 90.00°, γ = 90.00°
Last column: nearest neighbours and their distance in Å.
Positions (direct):
La 0.0000 0.0000 0.0000  12 Hg 3.61
Mn 0.5000 0.5000 0.5000  6 Hg 2.55
Hg 0.0000 0.5000 0.5000  2 Mn 2.55
Hg 0.5000 0.0000 0.5000  2 Mn 2.55
Hg 0.5000 0.5000 0.0000  2 Mn 2.55

## Properties
As for the distance to the lowest polymorph of the same formula: 0.0 kJ/mol of formula units. The value obtained for the formation energy from the elements is 0.044 eV per atom. The total energy is -2.96 eV/atom.

---

(4)
Computed, not measured: an optimized crystal structure of LaMnHg4 at the GGA-PBE level of DFT.

a = 5.9600 Å, b = 5.9600 Å, c = 5.9600 Å
α = 60.00°, β = 60.00°, γ = 60.00°
Last column: nearest neighbours and their distance in Å.
Positions (direct):
La 0.0000 0.0000 0.0000  12 Hg 3.50, 4 Mn 3.65
Mn 0.7500 0.7500 0.7500  12 Hg 3.49, 4 La 3.65
Hg 0.3754 0.3754 0.3754  6 Hg 2.97-2.99
Hg 0.3754 0.3754 0.8738  6 Hg 2.97-2.99
Hg 0.3754 0.8738 0.3754  6 Hg 2.97-2.99
Hg 0.8738 0.3754 0.3754  6 Hg 2.97-2.99

## Properties
The value obtained for the formation energy from the elements is 0.080 eV per atom. The total energy is -2.47 eV/atom.

---

(5)
Computed, not measured: an optimized crystal structure of LaMn2Hg at the GGA-PBE level of DFT.

a = 4.9976 Å, b = 4.9976 Å, c = 5.7434 Å
α = 115.80°, β = 115.80°, γ = 43.36°
Last column: nearest neighbours and their distance in Å.
Positions (direct):
La 0.0000 0.0000 0.0000  6 Mn 3.03-3.10
Mn 0.2358 0.2358 0.5856  2 Mn 2.16
Mn 0.7642 0.7642 0.4144  2 Mn 2.16
Hg 0.5000 0.5000 0.5000  6 Mn 2.72-2.73

## Properties
The value obtained for the formation energy from the elements is 0.365 eV per atom. The total energy is -5.53 eV/atom.

---

(6)
Computed, not measured: an optimized crystal structure of LaMn2Hg at the GGA-PBE level of DFT.

a = 3.4661 Å, b = 3.4661 Å, c = 7.1649 Å
α = 90.00°, β = 90.00°, γ = 90.00°
Last column: nearest neighbours and their distance in Å.
Positions (direct):
La 0.0000 0.0000 0.0000  8 Mn 3.22, 4 La 3.47, 2 Hg 3.58
Mn 0.5000 0.5000 0.2921  4 Hg 2.87, 1 Mn 2.98
Mn 0.5000 0.5000 0.7079  4 Hg 2.87, 1 Mn 2.98
Hg 0.0000 0.0000 0.5000  8 Mn 2.87

## Properties
The value obtained for the formation energy from the elements is 0.293 eV per atom. The total energy is -5.60 eV/atom.

---

(7)
Computed, not measured: an optimized crystal structure of LaMn2Hg at the GGA-PBE level of DFT.

a = 5.9603 Å, b = 5.9603 Å, c = 5.9603 Å
α = 43.53°, β = 43.53°, γ = 43.53°
Last column: nearest neighbours and their distance in Å.
Positions (direct):
La 0.0000 0.0000 0.0000  7 Mn 3.24-3.42, 4 Hg 3.29-3.30
Mn 0.2006 0.2006 0.2006  3 Mn 2.56, 3 Hg 2.80
Mn 0.5256 0.5256 0.5256  3 Mn 2.56, 3 Hg 2.75
Hg 0.7956 0.7956 0.7956  6 Mn 2.75-2.80

## Properties
The value obtained for the formation energy from the elements is 0.095 eV per atom. The total energy is -5.80 eV/atom.

---

(8)
Computed, not measured: an optimized crystal structure of LaMn2Hg at the GGA-PBE level of DFT.

a = 5.9635 Å, b = 5.9635 Å, c = 5.9635 Å
α = 147.43°, β = 130.96°, γ = 60.11°
Last column: nearest neighbours and their distance in Å.
Positions (direct):
La 0.0000 0.0000 0.0000  6 Mn 3.00-3.29, 2 Hg 3.33, 2 La 3.34
Mn 0.2897 0.7897 0.5000  2 Mn 2.55
Mn 0.4763 0.4763 0.0000  2 Mn 2.55
Hg 0.7153 0.2153 0.5000  6 Mn 2.98-3.08, 2 La 3.33

## Properties
The value obtained for the formation energy from the elements is 0.263 eV per atom. The total energy is -5.63 eV/atom.

---

(9)
Computed, not measured: an optimized crystal structure of LaMn2Hg at the GGA-PBE level of DFT.

a = 5.4475 Å, b = 5.4475 Å, c = 5.4475 Å
α = 132.36°, β = 132.36°, γ = 69.67°
Last column: nearest neighbours and their distance in Å.
Positions (direct):
La 0.0000 0.0000 0.0000  8 Mn 3.11-3.14, 4 Hg 3.14
Mn 0.2500 0.7500 0.5000  4 Hg 3.11, 4 La 3.14, 4 Mn 3.14
Mn 0.5000 0.5000 0.0000  4 La 3.11, 4 Hg 3.14, 4 Mn 3.14
Hg 0.7500 0.2500 0.5000  8 Mn 3.11-3.14, 4 La 3.14

## Properties
The value obtained for the formation energy from the elements is 0.287 eV per atom. The total energy is -5.60 eV/atom.

---

(10)
Computed, not measured: an optimized crystal structure of LaMn2Hg at the GGA-PBE level of DFT.

a = 9.7166 Å, b = 9.7166 Å, c = 9.7166 Å
α = 19.36°, β = 19.36°, γ = 19.36°
Last column: nearest neighbours and their distance in Å.
Positions (direct):
La 0.0000 0.0000 0.0000  6 Mn 3.20, 6 La 3.27
Mn 0.2427 0.2427 0.2427  3 Hg 2.88, 3 La 3.20
Mn 0.7573 0.7573 0.7573  3 Hg 2.88, 3 La 3.20
Hg 0.5000 0.5000 0.5000  6 Mn 2.88

## Properties
The value obtained for the formation energy from the elements is 0.513 eV per atom. The total energy is -5.38 eV/atom.

---

(11)
Computed, not measured: an optimized crystal structure of LaMn2Hg at the GGA-PBE level of DFT.

a = 3.2810 Å, b = 3.2601 Å, c = 7.6889 Å
α = 90.00°, β = 90.06°, γ = 90.00°
Last column: nearest neighbours and their distance in Å.
Positions (direct):
La 0.0000 0.0000 0.0000  4 La 3.26-3.28, 5 Mn 3.27-3.40, 4 Hg 3.39-3.40
Mn 0.0016 0.0000 0.4424  4 Mn 2.56
Mn 0.5013 0.5000 0.3000  4 Mn 2.56
Hg 0.5004 0.5000 0.6765  5 Mn 2.89-2.93

## Properties
The value obtained for the formation energy from the elements is 0.119 eV per atom. The total energy is -5.77 eV/atom.

---

(12)
Computed, not measured: an optimized crystal structure of LaMn2Hg at the GGA-PBE level of DFT.

a = 5.0512 Å, b = 5.0512 Å, c = 5.0512 Å
α = 60.00°, β = 60.00°, γ = 60.00°
Last column: nearest neighbours and their distance in Å.
Positions (direct):
La 0.0000 0.0000 0.0000  4 Hg 3.09, 4 Mn 3.09
Mn 0.5000 0.5000 0.5000  4 Mn 3.09, 4 Hg 3.09
Mn 0.7500 0.7500 0.7500  4 Mn 3.09, 4 La 3.09
Hg 0.2500 0.2500 0.2500  4 Mn 3.09, 4 La 3.09

## Properties
The value obtained for the formation energy from the elements is 0.281 eV per atom. The total energy is -5.61 eV/atom.

---

(13)
Computed, not measured: an optimized crystal structure of LaMn2Hg at the GGA-PBE level of DFT.

a = 3.5527 Å, b = 4.7592 Å, c = 5.6377 Å
α = 90.00°, β = 90.13°, γ = 90.00°
Last column: nearest neighbours and their distance in Å.
Positions (direct):
La 0.0000 0.0000 0.0000  8 Mn 3.26-3.27, 4 Hg 3.33-3.34, 2 La 3.55
Mn 0.4983 0.5000 0.7594  2 Mn 2.71-2.92, 2 Hg 2.79
Mn 0.5017 0.5000 0.2406  2 Mn 2.71-2.92, 2 Hg 2.79
Hg 0.5000 0.0000 0.5000  4 Mn 2.79

## Properties
The value obtained for the formation energy from the elements is 0.332 eV per atom. The total energy is -5.56 eV/atom.

---

(14)
Computed, not measured: an optimized crystal structure of LaMnHg3 at the GGA-PBE level of DFT.

a = 6.0210 Å, b = 6.0210 Å, c = 6.0210 Å
α = 90.00°, β = 90.00°, γ = 90.00°
Last column: nearest neighbours and their distance in Å.
Positions (direct):
La 0.0000 0.0000 0.0000  6 Hg 3.01
Mn 0.5000 0.5000 0.5000  12 Hg 4.26
Hg 0.0000 0.0000 0.5000  2 La 3.01
Hg 0.0000 0.5000 0.0000  2 La 3.01
Hg 0.5000 0.0000 0.0000  2 La 3.01

## Properties
As for the distance to the lowest polymorph of the same formula: 396.5 kJ/mol of formula units. The value obtained for the formation energy from the elements is 0.866 eV per atom. The total energy is -2.13 eV/atom.

---

(15)
Computed, not measured: an optimized crystal structure of La2MnHgN at the GGA-PBE level of DFT.

a = 6.0087 Å, b = 6.0087 Å, c = 3.9465 Å
α = 90.00°, β = 90.00°, γ = 90.00°
Last column: nearest neighbours and their distance in Å.
Positions (direct):
La 0.0000 0.5000 0.0000  2 Hg 3.00
La 0.5000 0.0000 0.0000  2 Hg 3.00
Mn 0.0000 0.0000 0.5000  8 La 3.59, 2 Mn 3.95
Hg 0.5000 0.5000 0.0000  2 N 1.97
N 0.5000 0.5000 0.5000  2 Hg 1.97

## Properties
As for the distance to the lowest polymorph of the same formula: 983.8 kJ/mol of formula units. The formation energy without anion corrections comes out at 136.48 kJ per mole of atoms. The total energy is -4.12 eV/atom.